Record 1
{"formula": "LaMgZr", "functional": "PBE", "state": "relaxed", "de_polymorph_mev_per_atom": 24, "volume_a3_per_cell": 81.4, "lattice": [[-3.9691, 6.3812, -1.6450], [-4.7590, 5.8423, 1.5491], [2.1011, 2.4170, 0.9272]], "species": ["Mg", "La", "Zr"], "frac_coords": [[0.3202, 0.3202, 0.6798], [0.0045, 0.0045, 0.9955], [0.6753, 0.6753, 0.3247]]}

=====

Record 2
{"formula": "Na2SrCuF6", "functional": "PBE", "state": "relaxed", "raw_formation_energy_mev_per_atom": -2691, "volume_a3_per_cell": 291.5, "lattice": [[5.7030, 0.0000, -0.3565], [0.0000, 5.7811, 0.0000], [-0.4526, 0.0000, 8.8701]], "species": ["Cu", "F", "F", "Sr", "Sr", "Na", "Cu", "Na", "F", "F", "F", "F", "F", "F", "Na", "F", "F", "Na", "F", "F"], "frac_coords": [[0.0000, 0.5000, 0.0000], [0.1622, 0.3997, 0.7528], [0.6622, 0.1003, 0.2528], [0.5000, 0.0000, 0.0000], [0.0000, 0.5000, 0.5000], [0.5280, 0.5531, 0.7385], [0.5000, 0.0000, 0.5000], [0.4720, 0.4469, 0.2615], [0.6692, 0.2748, 0.5755], [0.8308, 0.7748, 0.9245], [0.1692, 0.2252, 0.0755], [0.2378, 0.1872, 0.4142], [0.2622, 0.6872, 0.0858], [0.7378, 0.3128, 0.9142], [0.0280, 0.9469, 0.2385], [0.8378, 0.6003, 0.2472], [0.3378, 0.8997, 0.7472], [0.9720, 0.0531, 0.7615], [0.7622, 0.8128, 0.5858], [0.3308, 0.7252, 0.4245]]}

=====

Record 3
{"formula": "Gd2TlPt", "functional": "PBE", "state": "relaxed", "de_polymorph_mev_per_atom": 66, "volume_a3_per_cell": 114.1, "lattice": [[4.0019, 0.0000, 0.0000], [2.0009, 3.4657, 0.0000], [2.0009, 1.1552, 8.2237]], "species": ["Gd", "Pt", "Gd", "Tl"], "frac_coords": [[0.2656, 0.2656, 0.2031], [0.0000, 0.0000, 0.0000], [0.7344, 0.7344, 0.7969], [0.5000, 0.5000, 0.5000]]}

=====

Record 4
{"formula": "Pm12Au5O2", "functional": "PBE", "state": "relaxed", "raw_formation_energy_mev_per_atom": -884, "volume_a3_per_cell": 541.9, "lattice": [[-4.8881, -0.5821, 5.7084], [-3.7484, -0.8223, -8.2703], [2.9976, -8.2528, 1.7253]], "species": ["Pm", "Pm", "Au", "Au", "Pm", "Au", "Pm", "Pm", "Pm", "Au", "Pm", "Pm", "Pm", "O", "Pm", "O", "Pm", "Pm", "Au"], "frac_coords": [[0.3917, 0.2816, 0.5602], [0.6083, 0.7184, 0.4398], [0.0000, 0.0000, 0.5000], [0.6912, 0.3824, 0.8380], [0.4061, 0.3137, 0.0929], [0.2892, 0.5783, 0.6346], [0.1101, 0.7184, 0.4398], [0.5939, 0.6863, 0.9071], [0.8899, 0.2816, 0.5602], [0.7108, 0.4217, 0.3654], [0.0109, 0.0219, 0.8278], [0.5020, 0.0039, 0.8062], [0.9891, 0.9781, 0.1722], [0.2601, 0.0000, 0.0000], [0.9076, 0.3137, 0.0929], [0.7399, 0.0000, 0.0000], [0.4980, 0.9961, 0.1938], [0.0924, 0.6863, 0.9071], [0.3088, 0.6176, 0.1620]]}

=====

Record 5
{"formula": "Y12MgNi5", "functional": "PBE", "state": "relaxed", "total_energy_ev_per_atom": -6.2658, "volume_a3_per_cell": 454.5, "lattice": [[7.8288, 0.0156, -3.0280], [-4.0528, 6.9302, -2.4507], [-0.0431, -0.0156, 8.3938]], "species": ["Ni", "Y", "Y", "Y", "Mg", "Ni", "Y", "Y", "Y", "Y", "Ni", "Y", "Y", "Y", "Ni", "Ni", "Y", "Y"], "frac_coords": [[0.5000, 0.1215, 0.6215], [0.1905, 0.4019, 0.2114], [0.8879, 0.1818, 0.7061], [0.4758, 0.1818, 0.2939], [0.0000, 0.5000, 0.5000], [0.6335, 0.6335, 0.0000], [0.3063, 0.6784, 0.9847], [0.5242, 0.8182, 0.7061], [0.8095, 0.5981, 0.7886], [0.8095, 0.0210, 0.2114], [0.3665, 0.3665, 0.0000], [0.6937, 0.6784, 0.3721], [0.1905, 0.9790, 0.7886], [0.1121, 0.8182, 0.2939], [0.5000, 0.8785, 0.3785], [0.0000, 0.0000, 0.0000], [0.6937, 0.3216, 0.0153], [0.3063, 0.3216, 0.6279]]}

=====

Record 6
{"formula": "HoBiN", "functional": "PBE", "state": "relaxed", "raw_formation_energy_mev_per_atom": -237, "de_polymorph_mev_per_atom": 457, "volume_a3_per_cell": 273.7, "lattice": [[8.4980, 1.2726, 0.0000], [-0.1883, 8.5907, 0.0000], [-4.1548, -4.9316, 3.7369]], "species": ["Ho", "Ho", "N", "Ho", "Bi", "Bi", "N", "N", "Ho", "N", "Bi", "Bi"], "frac_coords": [[0.5171, 0.4829, 0.5000], [0.2671, 0.7329, 0.0000], [0.6250, 0.3750, 0.7500], [0.9829, 0.0171, 0.5000], [0.4668, 0.9668, 0.9337], [0.7832, 0.7832, 0.5663], [0.6250, 0.3750, 0.2500], [0.6250, 0.8750, 0.2500], [0.7329, 0.2671, 0.0000], [0.1250, 0.3750, 0.7500], [0.0332, 0.5332, 0.0663], [0.2168, 0.2168, 0.4337]]}

=====

Record 7
{"formula": "Si3HgI12", "functional": "PBE", "state": "relaxed", "raw_formation_energy_mev_per_atom": -325, "volume_a3_per_cell": 2009.8, "lattice": [[12.1215, 0.0000, 5.8533], [4.6475, 11.1951, 5.8533], [0.2410, 0.1609, 14.9785]], "species": ["I", "I", "I", "I", "Hg", "Si", "I", "Si", "I", "I", "Si", "I", "I", "I", "I", "I", "I", "Si", "Si", "Si", "I", "I", "Hg", "I", "I", "I", "I", "I", "I", "I", "I", "I"], "frac_coords": [[0.5716, 0.9458, 0.5155], [0.7339, 0.3339, 0.1338], [0.9636, 0.8010, 0.8262], [0.9670, 0.5716, 0.5155], [0.0643, 0.0643, 0.8071], [0.3260, 0.9923, 0.0003], [0.3010, 0.4636, 0.3262], [0.9923, 0.6813, 0.0003], [0.1343, 0.7235, 0.0260], [0.2984, 0.8339, 0.6338], [0.6813, 0.3260, 0.0003], [0.4458, 0.0716, 0.0155], [0.6343, 0.6163, 0.5259], [0.2235, 0.6343, 0.5259], [0.4636, 0.9092, 0.3262], [0.6163, 0.2235, 0.5260], [0.7984, 0.7339, 0.1338], [0.4923, 0.8260, 0.5003], [0.8260, 0.1813, 0.5003], [0.1813, 0.4923, 0.5003], [0.8010, 0.4092, 0.8262], [0.7235, 0.1163, 0.0259], [0.5643, 0.5643, 0.3071], [0.9092, 0.3010, 0.3262], [0.9458, 0.9670, 0.5155], [0.4670, 0.4458, 0.0155], [0.3339, 0.7984, 0.1338], [0.1163, 0.1343, 0.0259], [0.0716, 0.4670, 0.0155], [0.2339, 0.2984, 0.6338], [0.8339, 0.2339, 0.6338], [0.4092, 0.9636, 0.8262]]}

=====

Record 8
{"formula": "ZnOs", "functional": "PBE", "state": "relaxed", "total_energy_ev_per_atom": -5.8214, "volume_a3_per_cell": 202.8, "lattice": [[-0.2905, 2.4648, 3.6742], [-2.4902, 0.6307, -0.6200], [-5.6799, -13.7802, 8.7952]], "species": ["Os", "Os", "Os", "Zn", "Zn", "Zn", "Os", "Zn", "Os", "Zn", "Os", "Zn"], "frac_coords": [[0.0000, 0.2404, 0.2348], [0.0000, 0.2309, 0.5000], [0.5000, 0.7691, 0.0000], [0.0000, 0.7316, 0.6301], [0.5000, 0.7308, 0.5000], [0.5000, 0.2684, 0.8699], [0.5000, 0.7596, 0.2652], [0.0000, 0.2692, 0.0000], [0.0000, 0.2404, 0.7652], [0.5000, 0.2684, 0.1301], [0.5000, 0.7596, 0.7348], [0.0000, 0.7316, 0.3699]]}